(A)
TlCd2Se: optimized geometry, PBE.

a = 4.1170 Å, b = 4.5844 Å, c = 5.4850 Å
α = 90.00°, β = 90.00°, γ = 90.00°
Closest atoms and distances in Å follow each position.
Fractional positions:
Tl 0.0000 0.0000 0.0000  4 Cd 3.08, 4 Se 3.43
Cd 0.0000 0.5000 0.5000  4 Se 3.08, 4 Cd 3.43
Cd 0.5000 0.5000 0.0000  4 Tl 3.08, 4 Cd 3.43
Se 0.5000 0.0000 0.5000  4 Cd 3.08, 4 Tl 3.43


(B)
TlCd2Se: optimized geometry, PBE.

a = 7.5095 Å, b = 7.5095 Å, c = 7.5095 Å
α = 90.00°, β = 90.00°, γ = 90.00°
Closest atoms and distances in Å follow each position.
Fractional positions:
Tl 0.0000 0.0000 0.0000  4 Cd 3.25, 4 Se 3.25
Tl 0.0000 0.5000 0.5000  4 Cd 3.25, 4 Se 3.25
Tl 0.5000 0.0000 0.5000  4 Cd 3.25, 4 Se 3.25
Tl 0.5000 0.5000 0.0000  4 Cd 3.25, 4 Se 3.25
Cd 0.0000 0.0000 0.5000  4 Se 3.25, 4 Cd 3.25
Cd 0.0000 0.5000 0.0000  4 Se 3.25, 4 Cd 3.25
Cd 0.2500 0.2500 0.2500  4 Cd 3.25, 4 Tl 3.25
Cd 0.2500 0.7500 0.7500  4 Cd 3.25, 4 Tl 3.25
Cd 0.5000 0.0000 0.0000  4 Se 3.25, 4 Cd 3.25
Cd 0.5000 0.5000 0.5000  4 Se 3.25, 4 Cd 3.25
Cd 0.7500 0.2500 0.7500  4 Cd 3.25, 4 Tl 3.25
Cd 0.7500 0.7500 0.2500  4 Cd 3.25, 4 Tl 3.25
Se 0.2500 0.2500 0.7500  4 Cd 3.25, 4 Tl 3.25
Se 0.2500 0.7500 0.2500  4 Cd 3.25, 4 Tl 3.25
Se 0.7500 0.2500 0.2500  4 Cd 3.25, 4 Tl 3.25
Se 0.7500 0.7500 0.7500  4 Cd 3.25, 4 Tl 3.25


Energetically preferred structure: (A) | next structure: +4.7 kJ/mol of atoms


(A)
TlCd2Se: optimized geometry, PBE.

a = 6.3996 Å, b = 10.1984 Å, c = 4.6047 Å
α = 90.00°, β = 133.71°, γ = 90.00°
Closest atoms and distances in Å follow each position.
Fractional positions:
Tl 0.0000 0.0000 0.0000  4 Cd 3.04, 4 Se 3.20-3.33
Tl 0.5000 0.5000 0.0000  4 Cd 3.04, 4 Se 3.20-3.33
Cd 0.2500 0.2500 0.5000  2 Tl 3.04, 2 Se 3.04, 4 Cd 3.20-3.33
Cd 0.2500 0.7500 0.5000  2 Tl 3.04, 2 Se 3.04, 4 Cd 3.20-3.33
Cd 0.7500 0.2500 0.5000  2 Tl 3.04, 2 Se 3.04, 4 Cd 3.20-3.33
Cd 0.7500 0.7500 0.5000  2 Tl 3.04, 2 Se 3.04, 4 Cd 3.20-3.33
Se 0.0000 0.5000 0.0000  4 Cd 3.04, 4 Tl 3.20-3.33
Se 0.5000 0.0000 0.0000  4 Cd 3.04, 4 Tl 3.20-3.33


(B)
TlCd2Se: optimized geometry, PBE.

a = 5.3023 Å, b = 5.3103 Å, c = 7.5679 Å
α = 90.00°, β = 90.00°, γ = 90.00°
Closest atoms and distances in Å follow each position.
Fractional positions:
Tl 0.0000 0.0000 0.0000  5 Cd 3.47-3.49, 4 Se 3.54-3.55, 4 Tl 3.75
Tl 0.5000 0.5000 0.0000  5 Cd 3.47-3.49, 4 Se 3.54-3.55, 4 Tl 3.75
Cd 0.0000 0.0000 0.4614  4 Se 2.89, 4 Cd 3.23
Cd 0.0000 0.5000 0.7047  1 Se 2.98, 4 Cd 3.23
Cd 0.5000 0.0000 0.7047  1 Se 2.98, 4 Cd 3.23
Cd 0.5000 0.5000 0.4614  4 Se 2.89, 4 Cd 3.23
Se 0.0000 0.5000 0.3106  5 Cd 2.89-2.98
Se 0.5000 0.0000 0.3106  5 Cd 2.89-2.98


Energetically preferred structure: (B) | next structure: +3.9 kJ/mol of atoms


(A)
TlCd2Se: optimized geometry, PBE.

a = 3.9835 Å, b = 3.9835 Å, c = 23.3644 Å
α = 90.00°, β = 90.00°, γ = 120.00°
Closest atoms and distances in Å follow each position.
Fractional positions:
Tl 0.0000 0.0000 0.0000  6 Cd 3.20
Tl 0.3333 0.6667 0.6667  6 Cd 3.20
Tl 0.6667 0.3333 0.3333  6 Cd 3.20
Cd 0.0000 0.0000 0.2382  3 Se 2.84
Cd 0.0000 0.0000 0.7618  3 Se 2.84
Cd 0.3333 0.6667 0.4285  3 Se 2.84
Cd 0.3333 0.6667 0.9048  3 Se 2.84
Cd 0.6667 0.3333 0.0952  3 Se 2.84
Cd 0.6667 0.3333 0.5715  3 Se 2.84
Se 0.0000 0.0000 0.5000  6 Cd 2.84
Se 0.3333 0.6667 0.1667  6 Cd 2.84
Se 0.6667 0.3333 0.8333  6 Cd 2.84


(B)
TlCd2Se: optimized geometry, PBE.

a = 8.1126 Å, b = 8.1126 Å, c = 6.4743 Å
α = 90.00°, β = 90.00°, γ = 90.00°
Closest atoms and distances in Å follow each position.
Fractional positions:
Tl 0.0000 0.0000 0.0000  4 Cd 3.17, 2 Se 3.24
Tl 0.0000 0.5000 0.2500  4 Cd 3.17, 2 Se 3.24
Tl 0.5000 0.0000 0.7500  4 Cd 3.17, 2 Se 3.24
Tl 0.5000 0.5000 0.5000  4 Cd 3.17, 2 Se 3.24
Cd 0.2173 0.7500 0.6250  2 Se 2.81
Cd 0.2500 0.2173 0.3750  2 Se 2.81
Cd 0.2500 0.2827 0.8750  2 Se 2.81
Cd 0.2827 0.7500 0.1250  2 Se 2.81
Cd 0.7173 0.2500 0.1250  2 Se 2.81
Cd 0.7500 0.7173 0.8750  2 Se 2.81
Cd 0.7500 0.7827 0.3750  2 Se 2.81
Cd 0.7827 0.2500 0.6250  2 Se 2.81
Se 0.0000 0.0000 0.5000  4 Cd 2.81
Se 0.0000 0.5000 0.7500  4 Cd 2.81
Se 0.5000 0.0000 0.2500  4 Cd 2.81
Se 0.5000 0.5000 0.0000  4 Cd 2.81


(C)
TlCd2Se: optimized geometry, PBE.

a = 7.4824 Å, b = 7.4824 Å, c = 7.4824 Å
α = 90.00°, β = 90.00°, γ = 90.00°
Closest atoms and distances in Å follow each position.
Fractional positions:
Tl 0.0000 0.0000 0.0000  8 Cd 3.24
Tl 0.0000 0.5000 0.5000  8 Cd 3.24
Tl 0.5000 0.0000 0.5000  8 Cd 3.24
Tl 0.5000 0.5000 0.0000  8 Cd 3.24
Cd 0.2500 0.2500 0.2500  4 Se 3.24, 4 Tl 3.24
Cd 0.2500 0.2500 0.7500  4 Tl 3.24, 4 Se 3.24
Cd 0.2500 0.7500 0.2500  4 Tl 3.24, 4 Se 3.24
Cd 0.2500 0.7500 0.7500  4 Tl 3.24, 4 Se 3.24
Cd 0.7500 0.2500 0.2500  4 Tl 3.24, 4 Se 3.24
Cd 0.7500 0.2500 0.7500  4 Tl 3.24, 4 Se 3.24
Cd 0.7500 0.7500 0.2500  4 Tl 3.24, 4 Se 3.24
Cd 0.7500 0.7500 0.7500  4 Tl 3.24, 4 Se 3.24
Se 0.0000 0.0000 0.5000  8 Cd 3.24
Se 0.0000 0.5000 0.0000  8 Cd 3.24
Se 0.5000 0.0000 0.0000  8 Cd 3.24
Se 0.5000 0.5000 0.5000  8 Cd 3.24


Energetically preferred structure: (A) | next structure: +1.1 kJ/mol of atoms


(A)
Cd3WSe: optimized geometry, PBE.

a = 5.4052 Å, b = 5.4052 Å, c = 5.4052 Å
α = 90.00°, β = 90.00°, γ = 90.00°
Closest atoms and distances in Å follow each position.
Fractional positions:
Cd 0.0000 0.0000 0.5000  2 W 2.70
Cd 0.0000 0.5000 0.0000  2 W 2.70
Cd 0.5000 0.0000 0.0000  2 W 2.70
W 0.0000 0.0000 0.0000  6 Cd 2.70
Se 0.5000 0.5000 0.5000  12 Cd 3.82


(B)
Cd3WSe: optimized geometry, PBE.

a = 5.2564 Å, b = 5.2564 Å, c = 5.2564 Å
α = 90.00°, β = 90.00°, γ = 90.00°
Closest atoms and distances in Å follow each position.
Fractional positions:
Cd 0.0000 0.0000 0.5000  2 Se 2.63
Cd 0.0000 0.5000 0.0000  2 Se 2.63
Cd 0.5000 0.0000 0.0000  2 Se 2.63
W 0.5000 0.5000 0.5000  12 Cd 3.72
Se 0.0000 0.0000 0.0000  6 Cd 2.63


Energetically preferred structure: (A) | next structure: +11.5 kJ/mol of atoms


(A)
Y3CdSe: optimized geometry, PBE.

a = 7.3268 Å, b = 3.9920 Å, c = 9.4315 Å
α = 90.00°, β = 101.68°, γ = 90.00°
Closest atoms and distances in Å follow each position.
Fractional positions:
Y 0.0254 0.2500 0.1766  3 Se 2.89-2.92, 2 Cd 3.19
Y 0.3244 0.7500 0.4185  1 Se 3.13, 3 Cd 3.22-3.34, 4 Y 3.37-3.46
Y 0.4507 0.7500 0.8176  3 Se 2.90-3.06
Y 0.5493 0.2500 0.1824  3 Se 2.90-3.06
Y 0.6756 0.2500 0.5815  1 Se 3.13, 3 Cd 3.22-3.34, 4 Y 3.37-3.46
Y 0.9746 0.7500 0.8234  3 Se 2.89-2.92, 2 Cd 3.19
Cd 0.1387 0.2500 0.6167  7 Y 3.19-3.34, 2 Cd 3.34
Cd 0.8613 0.7500 0.3833  7 Y 3.19-3.34, 2 Cd 3.34
Se 0.2662 0.7500 0.0810  7 Y 2.89-3.13
Se 0.7338 0.2500 0.9190  7 Y 2.89-3.13


(B)
Y3CdSe: optimized geometry, PBE.

a = 5.3486 Å, b = 5.3486 Å, c = 5.3486 Å
α = 90.00°, β = 90.00°, γ = 90.00°
Closest atoms and distances in Å follow each position.
Fractional positions:
Y 0.0000 0.0000 0.5000  2 Se 2.67
Y 0.0000 0.5000 0.0000  2 Se 2.67
Y 0.5000 0.0000 0.0000  2 Se 2.67
Cd 0.5000 0.5000 0.5000  12 Y 3.78
Se 0.0000 0.0000 0.0000  6 Y 2.67


Energetically preferred structure: (A) | next structure: +17.5 kJ/mol of atoms


(A)
Zn2Cd2Se: optimized geometry, PBE.

a = 7.3743 Å, b = 7.3743 Å, c = 4.0545 Å
α = 90.00°, β = 90.00°, γ = 90.00°
Closest atoms and distances in Å follow each position.
Fractional positions:
Zn 0.1618 0.3382 0.0000  6 Cd 2.88-3.03
Zn 0.3382 0.8382 0.0000  6 Cd 2.88-3.03
Zn 0.6618 0.1618 0.0000  6 Cd 2.88-3.03
Zn 0.8382 0.6618 0.0000  6 Cd 2.88-3.03
Cd 0.1421 0.6421 0.5000  2 Se 2.84, 6 Zn 2.88-3.03, 1 Cd 2.96
Cd 0.3579 0.1421 0.5000  2 Se 2.84, 6 Zn 2.88-3.03, 1 Cd 2.96
Cd 0.6421 0.8579 0.5000  2 Se 2.84, 6 Zn 2.88-3.03, 1 Cd 2.96
Cd 0.8579 0.3579 0.5000  2 Se 2.84, 6 Zn 2.88-3.03, 1 Cd 2.96
Se 0.0000 0.0000 0.5000  4 Cd 2.84
Se 0.5000 0.5000 0.5000  4 Cd 2.84


(B)
Zn2Cd2Se: optimized geometry, PBE.

a = 6.8608 Å, b = 6.8608 Å, c = 4.5153 Å
α = 90.00°, β = 90.00°, γ = 90.00°
Closest atoms and distances in Å follow each position.
Fractional positions:
Zn 0.1323 0.3677 0.0000  1 Zn 2.57, 2 Se 2.68
Zn 0.3677 0.8677 0.0000  1 Zn 2.57, 2 Se 2.68
Zn 0.6323 0.1323 0.0000  1 Zn 2.57, 2 Se 2.68
Zn 0.8677 0.6323 0.0000  1 Zn 2.57, 2 Se 2.68
Cd 0.1662 0.6662 0.5000  6 Zn 2.99-3.06, 1 Cd 3.22
Cd 0.3338 0.1662 0.5000  6 Zn 2.99-3.06, 1 Cd 3.22
Cd 0.6662 0.8338 0.5000  6 Zn 2.99-3.06, 1 Cd 3.22
Cd 0.8338 0.3338 0.5000  6 Zn 2.99-3.06, 1 Cd 3.22
Se 0.0000 0.0000 0.0000  4 Zn 2.68
Se 0.5000 0.5000 0.0000  4 Zn 2.68


Energetically preferred structure: (B) | next structure: +7.1 kJ/mol of atoms


(A)
ZnCd2Se2: optimized geometry, PBE.

a = 4.5749 Å, b = 4.5749 Å, c = 13.9438 Å
α = 90.00°, β = 90.00°, γ = 90.00°
Closest atoms and distances in Å follow each position.
Fractional positions:
Zn 0.0000 0.0000 0.0000  8 Se 3.77, 8 Cd 4.17
Zn 0.5000 0.5000 0.5000  8 Se 3.77, 8 Cd 4.17
Cd 0.0000 0.5000 0.2500  4 Se 2.76
Cd 0.0000 0.5000 0.7500  4 Se 2.76
Cd 0.5000 0.0000 0.2500  4 Se 2.76
Cd 0.5000 0.0000 0.7500  4 Se 2.76
Se 0.0000 0.0000 0.3606  4 Cd 2.76
Se 0.0000 0.0000 0.6394  4 Cd 2.76
Se 0.5000 0.5000 0.1394  4 Cd 2.76
Se 0.5000 0.5000 0.8606  4 Cd 2.76


(B)
ZnCd2Se2: optimized geometry, PBE.

a = 7.7346 Å, b = 7.7346 Å, c = 4.2108 Å
α = 90.00°, β = 90.00°, γ = 90.00°
Closest atoms and distances in Å follow each position.
Fractional positions:
Zn 0.0000 0.0000 0.0000  4 Se 2.75
Zn 0.5000 0.5000 0.0000  4 Se 2.75
Cd 0.1233 0.3767 0.5000  1 Cd 2.70, 2 Se 2.71
Cd 0.3767 0.8767 0.5000  1 Cd 2.70, 2 Se 2.71
Cd 0.6233 0.1233 0.5000  1 Cd 2.70, 2 Se 2.71
Cd 0.8767 0.6233 0.5000  1 Cd 2.70, 2 Se 2.71
Se 0.2213 0.7213 0.0000  2 Cd 2.71, 2 Zn 2.75
Se 0.2787 0.2213 0.0000  2 Cd 2.71, 2 Zn 2.75
Se 0.7213 0.7787 0.0000  2 Cd 2.71, 2 Zn 2.75
Se 0.7787 0.2787 0.0000  2 Cd 2.71, 2 Zn 2.75


Energetically preferred structure: (A) | next structure: +3.5 kJ/mol of atoms


(A)
Zr2CdSe2: optimized geometry, PBE.

a = 7.7758 Å, b = 7.7758 Å, c = 3.4695 Å
α = 90.00°, β = 90.00°, γ = 90.00°
Closest atoms and distances in Å follow each position.
Fractional positions:
Zr 0.1475 0.3525 0.0000  6 Se 2.84-2.89, 2 Cd 2.97
Zr 0.3525 0.8525 0.0000  6 Se 2.84-2.89, 2 Cd 2.97
Zr 0.6475 0.1475 0.0000  6 Se 2.84-2.89, 2 Cd 2.97
Zr 0.8525 0.6475 0.0000  6 Se 2.84-2.89, 2 Cd 2.97
Cd 0.0000 0.0000 0.0000  4 Zr 2.97
Cd 0.5000 0.5000 0.0000  4 Zr 2.97
Se 0.1420 0.6420 0.5000  6 Zr 2.84-2.89, 1 Se 3.12
Se 0.3580 0.1420 0.5000  6 Zr 2.84-2.89, 1 Se 3.12
Se 0.6420 0.8580 0.5000  6 Zr 2.84-2.89, 1 Se 3.12
Se 0.8580 0.3580 0.5000  6 Zr 2.84-2.89, 1 Se 3.12


(B)
Zr2CdSe2: optimized geometry, PBE.

a = 7.8335 Å, b = 7.8335 Å, c = 3.3627 Å
α = 90.00°, β = 90.00°, γ = 90.00°
Closest atoms and distances in Å follow each position.
Fractional positions:
Zr 0.1526 0.3474 0.0000  6 Se 2.84-2.86
Zr 0.3474 0.8474 0.0000  6 Se 2.84-2.86
Zr 0.6526 0.1526 0.0000  6 Se 2.84-2.86
Zr 0.8474 0.6526 0.0000  6 Se 2.84-2.86
Cd 0.0000 0.0000 0.5000  4 Se 3.03, 2 Cd 3.36
Cd 0.5000 0.5000 0.5000  4 Se 3.03, 2 Cd 3.36
Se 0.1387 0.6387 0.5000  6 Zr 2.84-2.86, 2 Cd 3.03, 1 Se 3.07
Se 0.3613 0.1387 0.5000  6 Zr 2.84-2.86, 2 Cd 3.03, 1 Se 3.07
Se 0.6387 0.8613 0.5000  6 Zr 2.84-2.86, 2 Cd 3.03, 1 Se 3.07
Se 0.8613 0.3613 0.5000  6 Zr 2.84-2.86, 2 Cd 3.03, 1 Se 3.07


Energetically preferred structure: (A) | next structure: +5.7 kJ/mol of atoms